# 1
DFT (GGA-PBE) results for crystalline Li2ZrBr at its relaxed geometry.

Summary:
The energy above the lowest structure with this stoichiometry comes out at 1.01 eV per formula unit. The crystal system is monoclinic. The value obtained for the density of states at the Fermi level is 2.14 states/eV/cell.

```
Li2ZrBr
1.0
2.688 -5.121 0.000
2.688 5.121 0.000
-0.005 0.000 3.162
Li Zr Br
2 1 1
direct
0.000 0.500 0.000
0.500 0.000 0.000
0.000 0.000 0.500
0.500 0.500 0.500
```

=====

# 2
DFT (GGA-PBE) results for crystalline Li2ZrBr at its relaxed geometry.

Summary:
The energy above the lowest structure with this stoichiometry comes out at 0.60 eV per formula unit. The crystal system is orthorhombic. The value obtained for the density of states at the Fermi level is 2.74 states/eV/cell.

```
Li2ZrBr
1.0
-1.629 1.670 7.958
1.629 -1.670 7.958
1.629 1.670 -7.958
Li Zr Br
2 1 1
direct
0.000 0.000 0.000
0.651 0.151 0.500
0.275 0.775 0.500
0.424 0.424 0.000
```

=====

# 3
DFT (GGA-PBE) results for crystalline Li2ZrBr at its relaxed geometry.

Summary:
The energy above the lowest structure with this stoichiometry comes out at 1.33 eV per formula unit. The crystal system is orthorhombic. The value obtained for the density of states at the Fermi level is 3.57 states/eV/cell.

```
Li2ZrBr
1.0
3.258 0.000 0.000
0.000 4.851 0.000
0.000 0.000 5.057
Li Zr Br
2 1 1
direct
0.000 0.000 0.000
0.500 0.500 0.000
0.000 0.500 0.500
0.500 0.000 0.500
```

=====

# 4
DFT (GGA-PBE) results for crystalline Li2ZrBr at its relaxed geometry.

Summary:
The energy above the lowest structure with this stoichiometry comes out at 1.36 eV per formula unit. The crystal system is tetragonal. The value obtained for the density of states at the Fermi level is 8.12 states/eV/cell.

```
Li2ZrBr
1.0
-3.872 3.872 2.705
3.872 -3.872 2.705
3.872 3.872 -2.705
Li Zr Br
4 2 2
direct
0.068 0.625 0.943
0.375 0.318 0.443
0.682 0.125 0.057
0.875 0.932 0.557
0.250 0.750 0.500
0.500 0.500 0.000
0.000 0.000 0.000
0.750 0.250 0.500
```

=====

# 5
DFT (GGA-PBE) results for crystalline LiZrBr6 at its relaxed geometry.

Summary:
The crystal system is triclinic. The value obtained for the density of states at the Fermi level is 14.69 states/eV/cell.

```
LiZrBr6
1.0
6.829 0.000 0.000
3.403 5.923 0.000
3.351 -1.913 6.046
Li Zr Br
1 1 6
direct
0.000 0.000 0.000
0.000 0.500 0.500
0.151 0.581 0.754
0.166 0.738 0.255
0.481 0.102 0.253
0.519 0.898 0.747
0.834 0.262 0.745
0.849 0.419 0.246
```

=====

# 6
DFT (GGA-PBE) results for crystalline Li2ZrBr at its relaxed geometry.

Summary:
The energy above the lowest structure with this stoichiometry comes out at 0.27 eV per formula unit. The crystal system is orthorhombic. The value obtained for the density of states at the Fermi level is 2.88 states/eV/cell.

```
Li2ZrBr
1.0
3.196 0.000 0.000
0.000 3.227 0.000
0.000 0.000 7.886
Li Zr Br
2 1 1
direct
0.000 0.000 0.194
0.000 0.000 0.806
0.500 0.500 0.500
0.500 0.500 0.000
```

=====

# 7
DFT (GGA-PBE) results for crystalline Li2ZrBr at its relaxed geometry.

Summary:
The energy above the lowest structure with this stoichiometry comes out at 0.09 eV per formula unit. The crystal system is orthorhombic. The value obtained for the density of states at the Fermi level is 2.94 states/eV/cell.

```
Li2ZrBr
1.0
1.749 -2.719 0.000
1.749 2.719 0.000
0.000 0.000 9.065
Li Zr Br
2 1 1
direct
0.000 0.000 0.195
0.000 0.000 0.805
0.500 0.500 0.500
0.500 0.500 0.000
```

=====

# 8
DFT (GGA-PBE) results for crystalline Li2ZrBr at its relaxed geometry.

Summary:
The energy above the lowest structure with this stoichiometry comes out at 0.00 eV per formula unit. The crystal system is trigonal. The value obtained for the density of states at the Fermi level is 2.71 states/eV/cell.

```
Li2ZrBr
1.0
1.657 0.957 9.086
-1.657 0.957 9.086
0.000 -1.914 9.086
Li Zr Br
2 1 1
direct
0.230 0.230 0.230
0.770 0.770 0.770
0.000 0.000 0.000
0.500 0.500 0.500
```

=====

Respective raw formation energy values: -94; -198; -14; -8; -1106; -281; -326; -348 meV/atom.